# 1
Ca2Ga2Pt (PBE, optimized geometry); uncorrected energy = -3.68 eV per atom; density of states at the Fermi level = 1.842 states/eV per cell
1.0
-1.838 1.838 8.812
1.838 -1.838 8.812
1.838 1.838 -8.812
Ca Ga Pt
2 2 1
Direct
0.094 0.094 0.000
0.906 0.906 0.000
0.250 0.750 0.500
0.750 0.250 0.500
0.500 0.500 0.000

***

# 2
CaGaPt3 (PBE, optimized geometry); uncorrected energy = -3.53 eV per atom; density of states at the Fermi level = 8.986 states/eV per cell
1.0
5.020 0.000 0.000
0.000 5.020 0.000
0.000 0.000 5.020
Ca Ga Pt
1 1 3
Direct
0.000 0.000 0.000
0.500 0.500 0.500
0.000 0.000 0.500
0.000 0.500 0.000
0.500 0.000 0.000

***

# 3
Ca2Ga3Pt (PBE, optimized geometry); uncorrected energy = -3.91 eV per atom; density of states at the Fermi level = 2.035 states/eV per cell
1.0
5.295 -2.206 0.000
5.295 2.206 0.000
-4.824 0.000 5.415
Ca Ga Pt
2 3 1
Direct
0.000 0.000 0.000
0.105 0.105 0.605
0.381 0.381 0.196
0.402 0.402 0.599
0.721 0.721 0.395
0.714 0.714 0.013

***

Number 3 is which compound?
Ca2Ga3Pt